(1)
Compound: ZrAg2Mo
Source: Alexandria via LeMat-Bulk
Functional: PBE-GGA
Structure: optimized geometry

crystal system: tetragonal
DFT formation energy: 13.90 kcal/mol of atoms

a = 3.857 Å, b = 3.857 Å, c = 10.884 Å
α = 79.79°, β = 79.79°, γ = 90.00°
Fractional positions:
Ag 0.119 0.625 0.250
Ag 0.875 0.881 0.750
Ag 0.631 0.125 0.250
Ag 0.375 0.369 0.750
Zr 0.500 0.500 0.000
Zr 0.250 0.750 0.500
Mo 0.750 0.250 0.500
Mo 0.000 0.000 0.000



(2)
Compound: ZrAg2Mo
Source: Alexandria via LeMat-Bulk
Functional: PBE-GGA
Structure: optimized geometry

crystal system: tetragonal
DFT formation energy: 9.51 kcal/mol of atoms

a = 3.647 Å, b = 3.647 Å, c = 5.577 Å
α = 90.00°, β = 90.00°, γ = 90.00°
Fractional positions:
Ag 0.000 0.000 0.494
Ag 0.000 0.000 0.006
Zr 0.500 0.500 0.750
Mo 0.500 0.500 0.250



(3)
Compound: Zr2AgMo2
Source: Alexandria via LeMat-Bulk
Functional: PBE-GGA
Structure: optimized geometry

crystal system: tetragonal
DFT formation energy: 10.45 kcal/mol of atoms

a = 3.627 Å, b = 3.627 Å, c = 8.393 Å
α = 77.52°, β = 77.52°, γ = 90.00°
Fractional positions:
Mo 0.250 0.750 0.500
Mo 0.750 0.250 0.500
Ag 0.000 0.000 0.000
Zr 0.606 0.606 0.788
Zr 0.394 0.394 0.212



(4)
Compound: Zr2AgMo
Source: Alexandria via LeMat-Bulk
Functional: PBE-GGA
Structure: optimized geometry

crystal system: monoclinic
DFT formation energy: 5.50 kcal/mol of atoms

a = 4.986 Å, b = 4.986 Å, c = 5.779 Å
α = 85.42°, β = 85.42°, γ = 33.35°
Fractional positions:
Zr 0.996 0.996 0.987
Zr 0.504 0.504 0.513
Ag 0.250 0.250 0.250
Mo 0.750 0.750 0.750



(5)
Compound: Zr2AgMo
Source: Alexandria via LeMat-Bulk
Functional: PBE-GGA
Structure: optimized geometry

crystal system: cubic
DFT formation energy: 6.58 kcal/mol of atoms

a = 4.772 Å, b = 4.772 Å, c = 4.772 Å
α = 60.00°, β = 60.00°, γ = 60.00°
Fractional positions:
Mo 0.250 0.250 0.250
Zr 0.000 0.000 0.000
Zr 0.750 0.750 0.750
Ag 0.500 0.500 0.500



(6)
Compound: ZrAg2Mo
Source: Alexandria via LeMat-Bulk
Functional: PBE-GGA
Structure: optimized geometry

crystal system: tetragonal
DFT formation energy: 8.41 kcal/mol of atoms

a = 5.162 Å, b = 5.162 Å, c = 5.162 Å
α = 132.37°, β = 132.37°, γ = 69.64°
Fractional positions:
Zr 0.750 0.250 0.500
Mo 0.500 0.500 0.000
Ag 0.000 0.000 0.000
Ag 0.250 0.750 0.500



(7)
Compound: ZrAgMo2
Source: Alexandria via LeMat-Bulk
Functional: PBE-GGA
Structure: optimized geometry

crystal system: orthorhombic
DFT formation energy: 5.53 kcal/mol of atoms

a = 3.420 Å, b = 4.452 Å, c = 4.640 Å
α = 90.00°, β = 90.00°, γ = 90.00°
Fractional positions:
Mo 0.500 0.500 0.000
Mo 0.000 0.000 0.000
Zr 0.500 0.000 0.500
Ag 0.000 0.500 0.500



(8)
Compound: ZrAg2Mo
Source: Alexandria via LeMat-Bulk
Functional: PBE-GGA
Structure: optimized geometry

crystal system: cubic
DFT formation energy: 11.00 kcal/mol of atoms

a = 4.716 Å, b = 4.716 Å, c = 4.716 Å
α = 60.00°, β = 60.00°, γ = 60.00°
Fractional positions:
Zr 0.000 0.000 0.000
Ag 0.250 0.250 0.250
Ag 0.750 0.750 0.750
Mo 0.500 0.500 0.500



(9)
Compound: Ag3N
Source: Alexandria via LeMat-Bulk
Functional: PBE-GGA
Structure: optimized geometry

total energy: -12.552 eV for the cell shown
crystal system: tetragonal

a = 4.903 Å, b = 4.903 Å, c = 4.903 Å
α = 132.63°, β = 132.63°, γ = 69.24°
Fractional positions:
N 0.000 0.000 0.000
Ag 0.250 0.750 0.500
Ag 0.750 0.250 0.500
Ag 0.500 0.500 0.000



(10)
Compound: Na3AgN
Source: Alexandria via LeMat-Bulk
Functional: PBE-GGA
Structure: optimized geometry

total energy: -13.403 eV for the cell shown
crystal system: cubic

a = 4.765 Å, b = 4.765 Å, c = 4.765 Å
α = 90.00°, β = 90.00°, γ = 90.00°
Fractional positions:
Na 0.500 0.000 0.000
Na 0.000 0.000 0.500
Na 0.000 0.500 0.000
Ag 0.500 0.500 0.500
N 0.000 0.000 0.000



(11)
Compound: NaAg3N
Source: Alexandria via LeMat-Bulk
Functional: PBE-GGA
Structure: optimized geometry

total energy: -15.938 eV for the cell shown
crystal system: cubic

a = 4.496 Å, b = 4.496 Å, c = 4.496 Å
α = 90.00°, β = 90.00°, γ = 90.00°
Fractional positions:
Ag 0.000 0.500 0.000
Ag 0.000 0.000 0.500
Ag 0.500 0.000 0.000
Na 0.500 0.500 0.500
N 0.000 0.000 0.000



(12)
Compound: Na2AgN4
Source: Alexandria via LeMat-Bulk
Functional: PBE-GGA
Structure: optimized geometry

total energy: -26.155 eV for the cell shown
crystal system: tetragonal

a = 4.254 Å, b = 4.254 Å, c = 6.842 Å
α = 71.89°, β = 71.89°, γ = 90.00°
Fractional positions:
N 0.169 0.169 0.661
N 0.831 0.831 0.339
N 0.000 0.500 0.000
N 0.500 0.000 0.000
Na 0.635 0.635 0.730
Na 0.365 0.365 0.270
Ag 0.000 0.000 0.000



(13)
Compound: NaAg3N
Source: Alexandria via LeMat-Bulk
Functional: PBE-GGA
Structure: optimized geometry

total energy: -9.280 eV for the cell shown
crystal system: cubic

a = 5.179 Å, b = 5.179 Å, c = 5.179 Å
α = 90.00°, β = 90.00°, γ = 90.00°
Fractional positions:
Ag 0.500 0.000 0.000
Ag 0.000 0.000 0.500
Ag 0.000 0.500 0.000
Na 0.000 0.000 0.000
N 0.500 0.500 0.500



(14)
Compound: Na3AgN
Source: Alexandria via LeMat-Bulk
Functional: PBE-GGA
Structure: optimized geometry

total energy: -10.060 eV for the cell shown
crystal system: cubic

a = 5.524 Å, b = 5.524 Å, c = 5.524 Å
α = 90.00°, β = 90.00°, γ = 90.00°
Fractional positions:
Na 0.000 0.500 0.000
Na 0.500 0.000 0.000
Na 0.000 0.000 0.500
N 0.500 0.500 0.500
Ag 0.000 0.000 0.000



(15)
Compound: Na2AgN2
Source: Alexandria via LeMat-Bulk
Functional: PBE-GGA
Structure: optimized geometry

total energy: -43.332 eV for the cell shown
crystal system: tetragonal

a = 8.037 Å, b = 8.037 Å, c = 3.007 Å
α = 90.00°, β = 90.00°, γ = 90.00°
Fractional positions:
Na 0.231 0.269 0.500
Na 0.769 0.731 0.500
Na 0.731 0.231 0.500
Na 0.269 0.769 0.500
Ag 0.000 0.000 0.000
Ag 0.500 0.500 0.000
N 0.449 0.949 0.000
N 0.949 0.551 0.000
N 0.551 0.051 0.000
N 0.051 0.449 0.000



(16)
Compound: NaAgN3
Source: Alexandria via LeMat-Bulk
Functional: PBE-GGA
Structure: optimized geometry

total energy: -14.128 eV for the cell shown
crystal system: cubic

a = 4.121 Å, b = 4.121 Å, c = 4.121 Å
α = 90.00°, β = 90.00°, γ = 90.00°
Fractional positions:
N 0.000 0.000 0.500
N 0.500 0.000 0.000
N 0.000 0.500 0.000
Na 0.000 0.000 0.000
Ag 0.500 0.500 0.500



(17)
Compound: NaAgN3
Source: Alexandria via LeMat-Bulk
Functional: PBE-GGA
Structure: optimized geometry

total energy: -18.755 eV for the cell shown
crystal system: cubic

a = 4.171 Å, b = 4.171 Å, c = 4.171 Å
α = 90.00°, β = 90.00°, γ = 90.00°
Fractional positions:
Na 0.500 0.500 0.500
N 0.500 0.000 0.000
N 0.000 0.500 0.000
N 0.000 0.000 0.500
Ag 0.000 0.000 0.000



(18)
Compound: Na2NiAgN
Source: Alexandria via LeMat-Bulk
Functional: PBE-GGA
Structure: optimized geometry

total energy: -19.519 eV for the cell shown
crystal system: tetragonal

a = 5.141 Å, b = 5.141 Å, c = 3.435 Å
α = 90.00°, β = 90.00°, γ = 90.00°
Fractional positions:
Ag 0.500 0.500 0.500
Ni 0.000 0.000 0.500
Na 0.500 0.000 0.000
Na 0.000 0.500 0.000
N 0.000 0.000 0.000



(19)
Compound: NaAgNO2
Source: Alexandria via LeMat-Bulk
Functional: PBE-GGA
Structure: optimized geometry

total energy: -19.065 eV for the cell shown
crystal system: tetragonal

a = 4.188 Å, b = 4.188 Å, c = 4.076 Å
α = 90.00°, β = 90.00°, γ = 90.00°
Fractional positions:
O 0.000 0.500 0.000
O 0.500 0.000 0.000
Ag 0.000 0.000 0.000
N 0.000 0.000 0.500
Na 0.500 0.500 0.500



(20)
Compound: NaAgN2O
Source: Alexandria via LeMat-Bulk
Functional: PBE-GGA
Structure: optimized geometry

total energy: -19.043 eV for the cell shown
crystal system: tetragonal

a = 4.135 Å, b = 4.135 Å, c = 4.352 Å
α = 90.00°, β = 90.00°, γ = 90.00°
Fractional positions:
Ag 0.000 0.000 0.000
O 0.000 0.000 0.500
N 0.000 0.500 0.000
N 0.500 0.000 0.000
Na 0.500 0.500 0.500